DFT (PBE) results for crystalline Ta3TiN at its relaxed geometry.

The structure belongs to space group Pm-3m (No. 221); the cell edges are 4.6483, 4.6483 and 4.6483 Å and the angles 90.00°, 90.00° and 90.00°. Symmetry generates all atoms from Ta at (0.0000, 0.0000, 0.5000), Ti at (0.0000, 0.0000, 0.0000) and N at (0.5000, 0.5000, 0.5000).

Its theoretical density is 10.0 g cm⁻³. The raw total energy comes out at -7.88 eV per atom. The calculation puts the total magnetic moment at 0.0 μB per formula unit. The formation energy from raw total energies is 12.36 eV/f.u. Its polymorph energy (0 for the lowest one) is 1467.7 kJ/mol of formula units.